# PBE La2MnSiPd6, relaxed
# **Total magnetic moment**: 0.40 μB per atom
# **DFT total energy**: -6.1772 eV per atom
data_La2MnSiPd6
_space_group_name_H-M_alt 'C 1 2/m 1'
_space_group_IT_number 12
_space_group_name_Hall '-C 2y'
_cell_length_a 11.650
_cell_length_b 5.566
_cell_length_c 8.352
_cell_angle_alpha 90.00
_cell_angle_beta 131.69
_cell_angle_gamma 90.00
loop_
_atom_site_label
_atom_site_fract_x
_atom_site_fract_y
_atom_site_fract_z
_atom_site_occupancy
La1 0.243 0.000 0.213 1
Mn1 0.000 0.500 0.000 1
Si1 0.000 0.000 0.500 1
Pd1 0.008 0.251 0.745 1
Pd2 0.250 0.000 0.606 1